# 1
Here is LaSi2Ni after structural relaxation from Alexandria via LeMat-Bulk. Energies are from PBE.

Unit cell a=3.945 b=3.945 c=5.903 alpha=70.44 beta=70.44 gamma=60.07
Fractional positions:
Si1 0.457 0.457 0.630
Si2 0.043 0.043 0.870
Ni1 0.750 0.750 0.750
La1 0.250 0.250 0.250

ΔE_f (raw) = -0.78 eV per atom
E_tot = -6.17 eV/atom
density = 5.7 Mg/m³
space-group type = No. 12
total moment = 0.00 μB/f.u.


# 2
Here is LaSi12Ni4 after structural relaxation from Alexandria via LeMat-Bulk. Energies are from PBE.

Unit cell a=7.010 b=7.010 c=7.010 alpha=109.47 beta=109.47 gamma=109.47
Fractional positions:
Si1 0.353 0.516 0.162
Si2 0.353 0.191 0.838
Si3 0.191 0.838 0.353
Si4 0.162 0.353 0.516
Si5 0.647 0.809 0.162
Si6 0.809 0.162 0.647
Si7 0.838 0.647 0.484
Si8 0.516 0.162 0.353
Si9 0.838 0.353 0.191
Si10 0.484 0.838 0.647
Si11 0.162 0.647 0.809
Si12 0.647 0.484 0.838
Ni1 0.000 0.000 0.500
Ni2 0.500 0.500 0.500
Ni3 0.000 0.500 0.000
Ni4 0.500 0.000 0.000
La1 0.000 0.000 0.000

ΔE_f (raw) = -0.25 eV per atom
E_tot = -5.73 eV/atom
density = 4.5 Mg/m³
space-group type = No. 204
total moment = 0.00 μB/f.u.


# 3
Here is LaSi2Ni after structural relaxation from Alexandria via LeMat-Bulk. Energies are from PBE.

Unit cell a=3.246 b=3.246 c=6.694 alpha=90.00 beta=90.00 gamma=89.99
Fractional positions:
La1 0.000 0.000 0.497
Si1 0.500 0.500 0.183
Si2 0.000 0.000 0.978
Ni1 0.500 0.500 0.842

ΔE_f (raw) = -0.27 eV per atom
E_tot = -5.66 eV/atom
density = 6.0 Mg/m³
space-group type = No. 99
total moment = 0.00 μB/f.u.


# 4
Here is La3Si3Ni2 after structural relaxation from Alexandria via LeMat-Bulk. Energies are from PBE.

Unit cell a=4.078 b=6.077 c=14.484 alpha=90.00 beta=90.00 gamma=109.60
Fractional positions:
La1 0.932 0.863 0.103
La2 0.932 0.863 0.397
La3 0.068 0.137 0.897
La4 0.363 0.727 0.750
La5 0.068 0.137 0.603
La6 0.637 0.273 0.250
Si1 0.664 0.328 0.750
Si2 0.336 0.672 0.250
Si3 0.670 0.340 0.461
Si4 0.670 0.340 0.039
Si5 0.330 0.660 0.539
Si6 0.330 0.660 0.961
Ni1 0.773 0.546 0.895
Ni2 0.227 0.454 0.395
Ni3 0.227 0.454 0.105
Ni4 0.773 0.546 0.605

ΔE_f (raw) = -0.70 eV per atom
E_tot = -6.03 eV/atom
density = 6.1 Mg/m³
space-group type = No. 63
total moment = 0.00 μB/f.u.
excess energy over the best structure of this formula in the dataset = 23.9 meV per atom